[1]
Compound: GdBeOs
Source: Alexandria
Functional: PBE
Structure: optimized geometry

The value obtained for the density of states at the Fermi level is 1.88 states/eV/cell. The formation energy from the elements comes out at -0.1121 eV per atom.

The structure belongs to space group P-6m2 (No. 187); the cell edges are 3.9970, 3.9970 and 3.8659 Å and the angles 90.00°, 90.00° and 120.00°. The asymmetric unit holds Gd at (0.0000, 0.0000, 0.0000), Be at (0.3333, 0.6667, 0.5000) and Os at (0.6667, 0.3333, 0.5000).

---

[2]
Compound: Gd2BeOs
Source: Alexandria
Functional: PBE
Structure: optimized geometry

The value obtained for the density of states at the Fermi level is 13.26 states/eV/cell. The formation energy from the elements comes out at -0.0063 eV per atom.

The structure belongs to space group Fm-3m (No. 225); the cell edges are 6.8879, 6.8879 and 6.8879 Å and the angles 90.00°, 90.00° and 90.00°. The asymmetric unit holds Gd at (0.2500, 0.2500, 0.2500), Be at (0.0000, 0.0000, 0.0000) and Os at (0.0000, 0.0000, 0.5000).

---

[3]
Compound: GdScBeOs
Source: Alexandria
Functional: PBE
Structure: optimized geometry

The value obtained for the density of states at the Fermi level is 14.34 states/eV/cell. The formation energy from the elements comes out at -0.0965 eV per atom.

The structure belongs to space group F-43m (No. 216); the cell edges are 6.6577, 6.6577 and 6.6577 Å and the angles 90.00°, 90.00° and 90.00°. The asymmetric unit holds Gd at (0.0000, 0.0000, 0.0000), Sc at (0.0000, 0.0000, 0.5000), Be at (0.2500, 0.2500, 0.2500) and Os at (0.2500, 0.2500, 0.7500).

---

[4]
Compound: GdBeP
Source: Alexandria
Functional: PBE
Structure: optimized geometry

The value obtained for the density of states at the Fermi level is 0.67 states/eV/cell. The formation energy from the elements comes out at -1.0007 eV per atom.

The structure belongs to space group P-6m2 (No. 187); the cell edges are 3.7145, 3.7145 and 4.1101 Å and the angles 90.00°, 90.00° and 120.00°. The asymmetric unit holds Gd at (0.0000, 0.0000, 0.0000), Be at (0.6667, 0.3333, 0.5000) and P at (0.3333, 0.6667, 0.5000).

---

[5]
Compound: GdPaBe2
Source: Alexandria
Functional: PBE
Structure: optimized geometry

The value obtained for the density of states at the Fermi level is 14.68 states/eV/cell. The formation energy from the elements comes out at 0.5184 eV per atom.

The structure belongs to space group R-3m (No. 166, hexagonal axes); the cell edges are 3.3099, 3.3099 and 25.6111 Å and the angles 90.00°, 90.00° and 120.00°. The asymmetric unit holds Gd at (0.0000, 0.0000, 0.0000), Pa at (0.0000, 0.0000, 0.5000) and Be at (0.0000, 0.0000, 0.2493).

---

[6]
Compound: GdPaBe4
Source: Alexandria
Functional: PBE
Structure: optimized geometry

The value obtained for the density of states at the Fermi level is 23.12 states/eV/cell. The formation energy from the elements comes out at 0.1677 eV per atom.

The structure belongs to space group F-43m (No. 216); the cell edges are 7.0635, 7.0635 and 7.0635 Å and the angles 90.00°, 90.00° and 90.00°. The asymmetric unit holds Gd at (0.0000, 0.0000, 0.0000), Pa at (0.2500, 0.2500, 0.7500) and Be at (0.1235, 0.1235, 0.3765).

---

[7]
Compound: GdBePd
Source: Alexandria
Functional: PBE
Structure: optimized geometry

The value obtained for the density of states at the Fermi level is 2.61 states/eV/cell. The formation energy from the elements comes out at -0.5097 eV per atom.

The structure belongs to space group P-6m2 (No. 187); the cell edges are 4.0919, 4.0919 and 3.8974 Å and the angles 90.00°, 90.00° and 120.00°. The asymmetric unit holds Gd at (0.0000, 0.0000, 0.0000), Be at (0.6667, 0.3333, 0.5000) and Pd at (0.3333, 0.6667, 0.5000).

---

[8]
Compound: GdBePd3
Source: Alexandria
Functional: PBE
Structure: optimized geometry

The value obtained for the density of states at the Fermi level is 4.19 states/eV/cell. The formation energy from the elements comes out at -0.6750 eV per atom.

The structure belongs to space group Pm-3m (No. 221); the cell edges are 4.3859, 4.3859 and 4.3859 Å and the angles 90.00°, 90.00° and 90.00°. The asymmetric unit holds Gd at (0.0000, 0.0000, 0.0000), Be at (0.5000, 0.5000, 0.5000) and Pd at (0.0000, 0.5000, 0.5000).

---

[9]
Compound: Gd2BePd
Source: Alexandria
Functional: PBE
Structure: optimized geometry

The value obtained for the density of states at the Fermi level is 2.75 states/eV/cell. The calculation puts the relative energy among the computed polymorphs at 0.0 meV/atom. The formation energy from the elements comes out at -0.3561 eV per atom.

The structure belongs to space group P4/mmm (No. 123); the cell edges are 3.5240, 3.5240 and 6.8814 Å and the angles 90.00°, 90.00° and 90.00°. The asymmetric unit holds Gd at (0.0000, 0.0000, 0.2426), Be at (0.5000, 0.5000, 0.0000) and Pd at (0.5000, 0.5000, 0.5000).

---

[10]
Compound: Gd2BePd
Source: Alexandria
Functional: PBE
Structure: optimized geometry

The value obtained for the density of states at the Fermi level is 10.62 states/eV/cell. The calculation puts the relative energy among the computed polymorphs at 43.3 meV/atom. The formation energy from the elements comes out at -0.3128 eV per atom.

The structure belongs to space group Fm-3m (No. 225); the cell edges are 7.0270, 7.0270 and 7.0270 Å and the angles 90.00°, 90.00° and 90.00°. The asymmetric unit holds Gd at (0.2500, 0.2500, 0.2500), Be at (0.0000, 0.0000, 0.0000) and Pd at (0.0000, 0.0000, 0.5000).

---

[11]
Compound: GdScBePd
Source: Alexandria
Functional: PBE
Structure: optimized geometry

The value obtained for the density of states at the Fermi level is 13.96 states/eV/cell. The formation energy from the elements comes out at -0.3245 eV per atom.

The structure belongs to space group F-43m (No. 216); the cell edges are 6.7965, 6.7965 and 6.7965 Å and the angles 90.00°, 90.00° and 90.00°. The asymmetric unit holds Gd at (0.0000, 0.0000, 0.0000), Sc at (0.0000, 0.0000, 0.5000), Be at (0.2500, 0.2500, 0.2500) and Pd at (0.2500, 0.2500, 0.7500).

---

[12]
Compound: SmGdBePd
Source: Alexandria
Functional: PBE
Structure: optimized geometry

The value obtained for the density of states at the Fermi level is 10.23 states/eV/cell. The formation energy from the elements comes out at -0.2926 eV per atom.

The structure belongs to space group F-43m (No. 216); the cell edges are 7.0673, 7.0673 and 7.0673 Å and the angles 90.00°, 90.00° and 90.00°. The asymmetric unit holds Sm at (0.0000, 0.0000, 0.0000), Gd at (0.0000, 0.0000, 0.5000), Be at (0.2500, 0.2500, 0.7500) and Pd at (0.2500, 0.2500, 0.2500).

---

[13]
Compound: GdYBePd
Source: Alexandria
Functional: PBE
Structure: optimized geometry

The value obtained for the density of states at the Fermi level is 10.68 states/eV/cell. The formation energy from the elements comes out at -0.3324 eV per atom.

The structure belongs to space group F-43m (No. 216); the cell edges are 7.0019, 7.0019 and 7.0019 Å and the angles 90.00°, 90.00° and 90.00°. The asymmetric unit holds Gd at (0.0000, 0.0000, 0.0000), Y at (0.0000, 0.0000, 0.5000), Be at (0.2500, 0.2500, 0.7500) and Pd at (0.2500, 0.2500, 0.2500).

---

[14]
Compound: PmGdBe2
Source: Alexandria
Functional: PBE
Structure: optimized geometry

The value obtained for the density of states at the Fermi level is 14.52 states/eV/cell. The formation energy from the elements comes out at 0.1550 eV per atom.

The structure belongs to space group Fm-3m (No. 225); the cell edges are 6.9410, 6.9410 and 6.9410 Å and the angles 90.00°, 90.00° and 90.00°. The asymmetric unit holds Pm at (0.0000, 0.0000, 0.0000), Gd at (0.0000, 0.0000, 0.5000) and Be at (0.2500, 0.2500, 0.2500).

---

[15]
Compound: PmGdBe2
Source: Alexandria
Functional: PBE
Structure: optimized geometry

The value obtained for the density of states at the Fermi level is 3.40 states/eV/cell. The formation energy from the elements comes out at 0.1543 eV per atom.

The structure belongs to space group P4/mmm (No. 123); the cell edges are 4.9046, 4.9046 and 3.4759 Å and the angles 90.00°, 90.00° and 90.00°. The asymmetric unit holds Pm at (0.0000, 0.0000, 0.0000), Gd at (0.5000, 0.5000, 0.0000) and Be at (0.0000, 0.5000, 0.5000).

---

[16]
Compound: PmGdBeRh
Source: Alexandria
Functional: PBE
Structure: optimized geometry

The value obtained for the density of states at the Fermi level is 9.22 states/eV/cell. The formation energy from the elements comes out at -0.2776 eV per atom.

The structure belongs to space group F-43m (No. 216); the cell edges are 6.9909, 6.9909 and 6.9909 Å and the angles 90.00°, 90.00° and 90.00°. The asymmetric unit holds Pm at (0.0000, 0.0000, 0.0000), Gd at (0.0000, 0.0000, 0.5000), Be at (0.2500, 0.2500, 0.7500) and Rh at (0.2500, 0.2500, 0.2500).

---

[17]
Compound: PmGdBeRu
Source: Alexandria
Functional: PBE
Structure: optimized geometry

The value obtained for the density of states at the Fermi level is 15.29 states/eV/cell. The formation energy from the elements comes out at -0.0372 eV per atom.

The structure belongs to space group F-43m (No. 216); the cell edges are 6.9579, 6.9579 and 6.9579 Å and the angles 90.00°, 90.00° and 90.00°. The asymmetric unit holds Pm at (0.0000, 0.0000, 0.0000), Gd at (0.0000, 0.0000, 0.5000), Be at (0.2500, 0.2500, 0.2500) and Ru at (0.2500, 0.2500, 0.7500).

---

[18]
Compound: PrGd2Be
Source: Alexandria
Functional: PBE
Structure: optimized geometry

The value obtained for the density of states at the Fermi level is 13.88 states/eV/cell. The calculation puts the relative energy among the computed polymorphs at 629.3 meV/atom. The formation energy from the elements comes out at 0.7045 eV per atom.

The structure belongs to space group R-3m (No. 166, hexagonal axes); the cell edges are 3.4970, 3.4970 and 34.7586 Å and the angles 90.00°, 90.00° and 120.00°. The asymmetric unit holds Pr at (0.0000, 0.0000, 0.0000), Gd at (0.0000, 0.0000, 0.4175) and Be at (0.0000, 0.0000, 0.5000).

---

[19]
Compound: PrGdBe
Source: Alexandria
Functional: PBE
Structure: optimized geometry

The value obtained for the density of states at the Fermi level is 5.97 states/eV/cell. The formation energy from the elements comes out at 0.1280 eV per atom.

The structure belongs to space group I4mm (No. 107); the cell edges are 3.5699, 3.5699 and 12.1767 Å and the angles 90.00°, 90.00° and 90.00°. The asymmetric unit holds Pr at (0.0000, 0.0000, 0.0000), Gd at (0.0000, 0.0000, 0.2721) and Be at (0.0000, 0.0000, 0.6449).

---

[20]
Compound: Pr2GdBe
Source: Alexandria
Functional: PBE
Structure: optimized geometry

The value obtained for the density of states at the Fermi level is 13.47 states/eV/cell. The calculation puts the relative energy among the computed polymorphs at 558.6 meV/atom. The formation energy from the elements comes out at 0.6882 eV per atom.

The structure belongs to space group R-3m (No. 166, hexagonal axes); the cell edges are 3.5195, 3.5195 and 35.2222 Å and the angles 90.00°, 90.00° and 120.00°. The asymmetric unit holds Pr at (0.0000, 0.0000, 0.0839), Gd at (0.0000, 0.0000, 0.5000) and Be at (0.0000, 0.0000, 0.0000).